Computed, not measured: a relaxed structure of GdPaAu at the PBE level of DFT.

Results
energy of formation	-0.021	eV per atom
raw total energy	-8.97	eV per atom
excess energy over the best structure of this formula in the dataset	159	meV/atom

The structure in CIF format:
```
data_GdPaAu
_cell_length_a 5.0273
_cell_length_b 5.0273
_cell_length_c 3.3266
_cell_angle_alpha 90.00
_cell_angle_beta 90.00
_cell_angle_gamma 120.00
_symmetry_space_group_name_H-M 'P 3 m 1'
_symmetry_Int_Tables_number 156
loop_
_symmetry_equiv_pos_as_xyz
'x,y,z'
'-y,x-y,z'
'-x+y,-x,z'
'-y,-x,z'
'-x+y,y,z'
'x,x-y,z'
loop_
_atom_site_label
_atom_site_type_symbol
_atom_site_fract_x
_atom_site_fract_y
_atom_site_fract_z
Gd1 Gd 0.0000 0.0000 0.0000
Pa1 Pa 0.6667 0.3333 0.6183
Au1 Au 0.3333 0.6667 0.3745
```